The following is a PBE calculation of a relaxed ReNi2Br crystal, from Alexandria.

Cell and atoms, written as POSCAR:
```
ReNi2Br
1.0
-1.426 2.277 4.303
1.426 -2.277 4.303
1.426 2.277 -4.303
Re Ni Br
1 2 1
direct
0.000 0.000 0.000
0.256 0.756 0.500
0.744 0.244 0.500
0.500 0.500 0.000
```

Properties
As for the density: 11.4 g/cm3. The calculation puts the excess energy over the best structure of this formula in the dataset at 0.509 eV per atom. For the energy, the calculation gives -5.51 eV/atom. Its space-group type is No. 71. As for the density of states at the Fermi level: 5.53 states/eV/cell.